Density functional theory data (PBE) for a relaxed KBaMg2 crystal.

Summary:
Its space group is Pmm2, No. 25. Its total magnetic moment is 0.0 Bohr magnetons per cell. For the electronic total energy, the calculation gives -1.453 eV/atom. As for the energy relative to the elements: 10 kJ/mol of atoms. The offset from the most stable computed form is 0.000 eV/atom.

a b c (Å): 4.258 4.025 10.034
angles (deg): 90.00 90.00 90.00
Fractional positions:
Mg  0.500  0.500  0.197
Mg  0.000  0.000  0.066
K  0.500  0.500  0.806
Ba  0.000  0.000  0.431

---

Density functional theory data (PBE) for a relaxed ErPt3 crystal.

Summary:
Its space group is Pm-3m, No. 221. Its total magnetic moment is 0.0 Bohr magnetons per cell. For the electronic total energy, the calculation gives -6.745 eV/atom. As for the energy relative to the elements: -104 kJ/mol of atoms.

a b c (Å): 4.100 4.100 4.100
angles (deg): 90.00 90.00 90.00
Fractional positions:
Er  0.000  0.500  0.417
Pt  0.500  0.500  0.917
Pt  0.500  0.000  0.417
Pt  0.000  0.000  0.917

---

Density functional theory data (PBE) for a relaxed B7H10 crystal.

Summary:
Its space group is P2_12_12_1, No. 19. Its total magnetic moment is 0.0 Bohr magnetons per cell. For the electronic total energy, the calculation gives -4.794 eV/atom.

a b c (Å): 9.061 10.298 13.310
angles (deg): 90.00 90.00 90.00
Fractional positions:
H  0.015  0.953  0.533
H  0.041  0.517  0.259
H  0.172  0.466  0.882
H  0.791  0.747  0.754
H  0.291  0.753  0.246
H  0.534  0.574  0.323
H  0.908  0.712  0.575
H  0.299  0.034  0.833
H  0.799  0.466  0.167
H  0.807  0.311  0.840
H  0.555  0.019  0.512
H  0.504  0.973  0.303
H  0.447  0.194  0.652
H  0.959  0.017  0.241
H  0.466  0.074  0.177
H  0.230  0.804  0.516
H  0.345  0.960  0.490
H  0.592  0.288  0.075
H  0.752  0.864  0.405
H  0.485  0.047  0.033
H  0.515  0.547  0.467
H  0.557  0.753  0.144
H  0.004  0.527  0.697
H  0.693  0.689  0.340
H  0.436  0.256  0.869
H  0.774  0.758  0.988
H  0.701  0.534  0.667
H  0.819  0.566  0.000
H  0.445  0.519  0.988
H  0.845  0.540  0.510
H  0.524  0.896  0.938
H  0.748  0.136  0.905
H  0.155  0.040  0.990
H  0.193  0.811  0.660
H  0.024  0.604  0.062
H  0.408  0.788  0.425
H  0.672  0.034  0.118
H  0.770  0.304  0.984
H  0.730  0.696  0.484
H  0.248  0.364  0.095
H  0.655  0.460  0.010
H  0.308  0.768  0.786
H  0.828  0.966  0.618
H  0.947  0.306  0.348
H  0.945  0.981  0.012
H  0.055  0.481  0.488
H  0.709  0.253  0.254
H  0.209  0.247  0.746
H  0.192  0.232  0.286
H  0.064  0.744  0.369
H  0.808  0.732  0.214
H  0.319  0.934  0.000
H  0.057  0.747  0.856
H  0.681  0.434  0.500
H  0.553  0.694  0.848
H  0.307  0.189  0.160
H  0.443  0.253  0.356
H  0.564  0.756  0.631
H  0.936  0.244  0.131
H  0.270  0.196  0.016
H  0.476  0.396  0.562
H  0.496  0.473  0.197
H  0.252  0.636  0.595
H  0.274  0.742  0.012
H  0.328  0.534  0.382
H  0.692  0.268  0.714
H  0.226  0.258  0.512
H  0.985  0.453  0.967
H  0.053  0.806  0.152
H  0.092  0.212  0.925
H  0.943  0.247  0.644
H  0.034  0.926  0.677
H  0.726  0.242  0.488
H  0.181  0.066  0.500
H  0.459  0.483  0.759
H  0.966  0.426  0.823
H  0.976  0.104  0.438
H  0.201  0.966  0.333
H  0.996  0.027  0.803
H  0.541  0.983  0.741
B  0.229  0.987  0.247
B  0.729  0.513  0.753
B  0.194  0.153  0.694
B  0.547  0.999  0.117
B  0.696  0.334  0.438
B  0.715  0.248  0.901
B  0.047  0.501  0.883
B  0.545  0.320  0.881
B  0.065  0.036  0.189
B  0.785  0.752  0.401
B  0.873  0.666  0.497
B  0.463  0.919  0.015
B  0.451  0.977  0.557
B  0.436  0.966  0.226
B  0.963  0.581  0.985
B  0.285  0.748  0.599
B  0.139  0.892  0.139
B  0.955  0.680  0.381
B  0.196  0.166  0.562
B  0.936  0.534  0.774
B  0.188  0.163  0.214
B  0.627  0.334  0.997
B  0.953  0.001  0.617
B  0.435  0.964  0.689
B  0.049  0.023  0.057
B  0.453  0.499  0.383
B  0.688  0.337  0.786
B  0.361  0.108  0.639
B  0.373  0.834  0.503
B  0.771  0.487  0.253
B  0.694  0.347  0.306
B  0.215  0.252  0.099
B  0.977  0.657  0.869
B  0.064  0.034  0.726
B  0.312  0.837  0.714
B  0.023  0.157  0.631
B  0.304  0.834  0.062
B  0.935  0.536  0.311
B  0.537  0.419  0.485
B  0.477  0.843  0.131
B  0.565  0.464  0.811
B  0.523  0.343  0.369
B  0.549  0.477  0.943
B  0.271  0.013  0.747
B  0.639  0.608  0.861
B  0.951  0.523  0.443
B  0.127  0.166  0.003
B  0.455  0.820  0.619
B  0.306  0.847  0.194
B  0.804  0.666  0.938
B  0.564  0.466  0.274
B  0.037  0.081  0.515
B  0.045  0.180  0.119
B  0.806  0.653  0.806
B  0.812  0.663  0.286
B  0.861  0.392  0.361